HoCoO3 after structural relaxation, computed with GGA+U.

Structure (POSCAR):
```
HoCoO3
1.0
-3.583 0.812 0.135
-0.608 -2.205 -2.878
-0.602 -3.071 2.481
Co Ho O
1 1 3
Direct
0.500 0.500 0.188
0.000 0.000 0.767
0.500 0.000 0.137
0.000 0.500 0.137
0.500 0.500 0.672
```

Crystal system: tetragonal
Symmetry: No. 99
Energy (eV per atom): -6.944
Spin magnetization (μB/f.u.): 1.995